PrSmCu | PBE | relaxed

Unit cell a=4.9534 b=4.9534 c=4.9534 alpha=60.00 beta=60.00 gamma=60.00
Closest atoms and distances in Å follow each position.
Sites, in units of the cell vectors:
Pr: 0.0000 0.0000 0.0000  4 Cu 3.03
Sm: 0.5000 0.5000 0.5000  4 Cu 3.03
Cu: 0.2500 0.2500 0.2500  4 Pr 3.03, 4 Sm 3.03

Output
Its distance to the lowest polymorph of the same formula is 0.000 eV/atom. For the density, the calculation gives 6.86 Mg/m³. For the formation enthalpy at 0 K, the calculation gives 120 meV/atom. Its symmetry is No. 216.